NaOsRh: optimized geometry, PBE-GGA.

a b c (Å): 2.709 5.886 7.531
angles (deg): 111.42 90.11 103.29
Space group P-1 (No. 2)
Symmetry-distinct sites (fractional):
Na: 0.155 0.301 0.103 (multiplicity 2)
Os: 0.156 0.314 0.508 (multiplicity 2)
Rh: 0.455 0.912 0.302 (multiplicity 2)

Output
The energy of formation from the pure elements is 0.327 eV/atom. As for the density of states at the Fermi level: 0.840 states/eV/atom. For the energy above the most stable polymorph in this dataset, the calculation gives 0.0 meV/atom. The value obtained for the raw total energy is -6.306 eV per atom.

---

NaOsRh: optimized geometry, PBE-GGA.

a b c (Å): 10.916 3.873 5.432
angles (deg): 90.00 103.97 90.00
Space group C2/m (No. 12)
Symmetry-distinct sites (fractional):
Na: 0.006 0.000 0.253 (multiplicity 4)
Os: 0.212 0.500 0.098 (multiplicity 4)
Rh: 0.201 0.500 0.602 (multiplicity 4)

Output
The energy of formation from the pure elements is 0.437 eV/atom. As for the density of states at the Fermi level: 0.806 states/eV/atom. For the energy above the most stable polymorph in this dataset, the calculation gives 109.5 meV/atom. The value obtained for the raw total energy is -6.196 eV per atom.

---

NaOsRh: optimized geometry, PBE-GGA.

a b c (Å): 4.0943 4.0943 9.3538
angles (deg): 90.00 90.00 120.00
Space group P6_3/mmc (No. 194)
Symmetry-distinct sites (fractional):
Na: 0.0000 0.0000 0.0000 (multiplicity 2)
Os: 0.3333 0.6667 0.2500 (multiplicity 2)
Rh: 0.3333 0.6667 0.7500 (multiplicity 2)

Output
The energy of formation from the pure elements is 0.996 eV/atom. As for the density of states at the Fermi level: 0.822 states/eV/atom. For the energy above the most stable polymorph in this dataset, the calculation gives 668.4 meV/atom. The value obtained for the raw total energy is -5.638 eV per atom.

---

Na2OsRh: optimized geometry, PBE-GGA.

a b c (Å): 8.086 8.086 4.884
angles (deg): 90.00 90.00 90.00
Space group I-42d (No. 122)
Symmetry-distinct sites (fractional):
Na: 0.233 0.250 0.125 (multiplicity 8)
Os: 0.000 0.000 0.500 (multiplicity 4)
Rh: 0.000 0.000 0.000 (multiplicity 4)

Output
The energy of formation from the pure elements is 1.222 eV/atom. As for the density of states at the Fermi level: 1.142 states/eV/atom. For the energy above the most stable polymorph in this dataset, the calculation gives 0.0 meV/atom. The value obtained for the raw total energy is -4.083 eV per atom.

---

NaOsRh: optimized geometry, PBE-GGA.

a b c (Å): 4.3322 4.3322 5.9536
angles (deg): 90.00 90.00 120.00
Space group P6/mmm (No. 191)
Symmetry-distinct sites (fractional):
Na: 0.3333 0.6667 0.0000 (multiplicity 2)
Os: 0.3333 0.6667 0.5000 (multiplicity 2)
Rh: 0.0000 0.0000 0.2859 (multiplicity 2)

Output
The energy of formation from the pure elements is 0.366 eV/atom. As for the density of states at the Fermi level: 0.766 states/eV/atom. For the energy above the most stable polymorph in this dataset, the calculation gives 38.4 meV/atom. The value obtained for the raw total energy is -6.268 eV per atom.

---

NaOsRh: optimized geometry, PBE-GGA.

a b c (Å): 2.712 6.021 7.504
angles (deg): 111.89 90.40 102.90
Space group P1 (No. 1)
Symmetry-distinct sites (fractional):
Na: 0.000 0.000 0.000 (multiplicity 1)
Na: 0.326 0.607 0.215 (multiplicity 1)
Os: 0.308 0.605 0.617 (multiplicity 1)
Os: 0.703 0.384 0.790 (multiplicity 1)
Rh: 0.000 0.979 0.601 (multiplicity 1)
Rh: 0.613 0.218 0.410 (multiplicity 1)

Output
The energy of formation from the pure elements is 0.426 eV/atom. As for the density of states at the Fermi level: 1.174 states/eV/atom. For the energy above the most stable polymorph in this dataset, the calculation gives 99.0 meV/atom. The value obtained for the raw total energy is -6.207 eV per atom.

---

Na4OsRh3S8: optimized geometry, PBE-GGA.

a b c (Å): 7.3168 7.3168 18.6534
angles (deg): 90.00 90.00 120.00
Space group R-3m (No. 166, hexagonal axes)
Symmetry-distinct sites (fractional):
Na: 0.0000 0.0000 0.0000 (multiplicity 3)
Na: 0.0000 0.5000 0.0000 (multiplicity 9)
Os: 0.0000 0.0000 0.5000 (multiplicity 3)
Rh: 0.0000 0.5000 0.5000 (multiplicity 9)
S: 0.0000 0.0000 0.2301 (multiplicity 6)
S: 0.0014 0.5007 0.2293 (multiplicity 18)

Output
As for the density of states at the Fermi level: 0.388 states/eV/atom. The value obtained for the uncorrected formation energy is -0.6620 eV per atom. The value obtained for the raw total energy is -5.136 eV per atom.

---

NaTaOs2Rh: optimized geometry, PBE-GGA.

a b c (Å): 4.691 4.691 5.013
angles (deg): 90.00 90.00 90.00
Space group P4/mmm (No. 123)
Symmetry-distinct sites (fractional):
Na: 0.000 0.000 0.000 (multiplicity 1)
Ta: 0.000 0.000 0.500 (multiplicity 1)
Os: 0.000 0.500 0.500 (multiplicity 2)
Rh: 0.500 0.500 0.000 (multiplicity 1)

Output
The energy of formation from the pure elements is 2.169 eV/atom. As for the density of states at the Fermi level: 1.313 states/eV/atom. The value obtained for the raw total energy is -6.428 eV per atom.

---

Na2ZnOsRh: optimized geometry, PBE-GGA.

a b c (Å): 4.680 4.680 4.776
angles (deg): 90.00 90.00 90.00
Space group P4/mmm (No. 123)
Symmetry-distinct sites (fractional):
Na: 0.000 0.500 0.000 (multiplicity 2)
Zn: 0.000 0.000 0.000 (multiplicity 1)
Os: 0.000 0.000 0.500 (multiplicity 1)
Rh: 0.500 0.500 0.500 (multiplicity 1)

Output
The energy of formation from the pure elements is 1.377 eV/atom. As for the density of states at the Fermi level: 1.221 states/eV/atom. For the energy above the most stable polymorph in this dataset, the calculation gives 276.7 meV/atom. The value obtained for the raw total energy is -3.122 eV per atom.

---

Na2ZnOsRh: optimized geometry, PBE-GGA.

a b c (Å): 5.378 5.378 4.652
angles (deg): 90.00 90.00 90.00
Space group P4/mmm (No. 123)
Symmetry-distinct sites (fractional):
Na: 0.000 0.500 0.000 (multiplicity 2)
Zn: 0.000 0.000 0.500 (multiplicity 1)
Os: 0.500 0.500 0.500 (multiplicity 1)
Rh: 0.500 0.500 0.000 (multiplicity 1)

Output
The energy of formation from the pure elements is 1.100 eV/atom. As for the density of states at the Fermi level: 0.929 states/eV/atom. For the energy above the most stable polymorph in this dataset, the calculation gives 0.0 meV/atom. The value obtained for the raw total energy is -3.399 eV per atom.

---

Na2OsRu: optimized geometry, PBE-GGA.

a b c (Å): 6.555 6.555 6.555
angles (deg): 90.00 90.00 90.00
Space group Fm-3m (No. 225)
Symmetry-distinct sites (fractional):
Na: 0.250 0.250 0.250 (multiplicity 8)
Os: 0.000 0.000 0.000 (multiplicity 4)
Ru: 0.000 0.000 0.500 (multiplicity 4)

Output
The energy of formation from the pure elements is 1.672 eV/atom. As for the density of states at the Fermi level: 1.136 states/eV/atom. For the energy above the most stable polymorph in this dataset, the calculation gives 220.7 meV/atom. The value obtained for the raw total energy is -4.114 eV per atom.

---

Na2OsRu: optimized geometry, PBE-GGA.

a b c (Å): 8.135 8.135 4.826
angles (deg): 90.00 90.00 90.00
Space group I-42d (No. 122)
Symmetry-distinct sites (fractional):
Na: 0.244 0.250 0.125 (multiplicity 8)
Os: 0.000 0.000 0.500 (multiplicity 4)
Ru: 0.000 0.000 0.000 (multiplicity 4)

Output
The energy of formation from the pure elements is 1.451 eV/atom. As for the density of states at the Fermi level: 1.436 states/eV/atom. For the energy above the most stable polymorph in this dataset, the calculation gives 0.0 meV/atom. The value obtained for the raw total energy is -4.335 eV per atom.

---

Which formula does entry 5 have? NaOsRh

---

Which formula does entry 8 have? NaTaOs2Rh

---

Which formula does entry 10 have? Na2ZnOsRh